VASP calculation (PBE) on a geometry-optimized Ce5Ga4Ru structure.

a b c (Å): 9.588 9.588 5.534
angles (deg): 90.00 90.00 90.00
Space group I4/m (No. 87)
Asymmetric unit:
Ce (0.000, 0.000, 0.000) (multiplicity 2)
Ce (0.139, 0.756, 0.500) (multiplicity 8)
Ga (0.061, 0.628, 0.000) (multiplicity 8)
Ru (0.000, 0.000, 0.500) (multiplicity 2)

Output
**ΔE_f**: -0.2378 eV per atom
**Uncorrected energy**: -106.9 eV per cell